! TiZnRh6 | Alexandria | PBE-GGA | optimized geometry; values from VASP
&SYSTEM
  ibrav = 0, nat = 16, ntyp = 3
/
ATOMIC_SPECIES
Ti 47.87 Ti.upf
Zn 65.41 Zn.upf
Rh 102.91 Rh.upf
CELL_PARAMETERS angstrom
7.550 0.000 0.000
0.000 5.326 0.000
-2.350 0.000 6.442
ATOMIC_POSITIONS angstrom
Ti 0.000 0.000 0.000
Ti 3.775 2.663 0.000
Zn -1.175 2.663 3.221
Zn 2.600 0.000 3.221
Rh 0.000 0.000 2.726
Rh -0.307 1.259 5.156
Rh -0.307 4.067 5.156
Rh 1.731 1.404 1.286
Rh 1.731 3.923 1.286
Rh 1.425 2.663 3.716
Rh 3.774 2.663 2.726
Rh 3.468 1.404 5.156
Rh 3.468 3.923 5.156
Rh 5.506 1.259 1.286
Rh 5.506 4.067 1.286
Rh 5.200 0.000 3.716
! **Energy relative to the elements**: 83.7 meV per atom
! **Total magnetization**: 0.00 μB per atom
! **Symmetry**: C2/m, No. 12